Crystalline Na2Ca5Ni2 at its relaxed geometry. Source: Alexandria, functional PBE.

Cell: 19.5922 7.6597 7.6367 Å, 90.00 90.00 90.00°
Space group Cmce (No. 64)
Inequivalent atoms, fractional coordinates:
Na (0.2321, 0.0000, 0.0000) [8 per cell]
Ca (0.0000, 0.0000, 0.0000) [4 per cell]
Ca (0.1004, 0.1746, 0.3256) [16 per cell]
Ni (0.0000, 0.1106, 0.6102) [8 per cell]

Output
- DFT formation energy (meV/atom) = -56
- energy (eV per atom) = -2.745
- crystal system = orthorhombic



Crystalline VAgS4 at its relaxed geometry. Source: Alexandria, functional PBE.

Cell: 5.8970 7.5306 12.2488 Å, 90.00 90.00 90.00°
Space group Imma (No. 74)
Inequivalent atoms, fractional coordinates:
V (0.2500, 0.2500, 0.2500) [4 per cell]
Ag (0.0000, 0.0000, 0.0000) [4 per cell]
S (0.0000, 0.0200, 0.2628) [8 per cell]
S (0.2443, 0.2500, 0.0479) [8 per cell]

Output
- formation energy from raw total energies (eV/f.u.) = -1.4
- energy (eV per atom) = -4.981
- crystal system = orthorhombic



Crystalline PaInPd4 at its relaxed geometry. Source: Alexandria, functional PBE.

Cell: 5.7252 7.6933 5.6127 Å, 90.00 110.17 90.00°
Space group C2/m (No. 12)
Inequivalent atoms, fractional coordinates:
Pa (0.0000, 0.0000, 0.0000) [2 per cell]
In (0.0000, 0.5000, 0.5000) [2 per cell]
Pd (0.2376, 0.1952, 0.7448) [8 per cell]

Output
- DFT formation energy (meV/atom) = -436
- energy (eV per atom) = -5.937
- crystal system = monoclinic



Crystalline NdY4Ho5 at its relaxed geometry. Source: Alexandria, functional PBE.

Cell: 6.2865 6.7277 9.2140 Å, 72.25 89.97 62.15°
Space group P1 (No. 1)
Inequivalent atoms, fractional coordinates:
Nd (0.0000, 0.0000, 0.0000) [1 per cell]
Y (0.2022, 0.5963, 0.4011) [1 per cell]
Y (0.2717, 0.7956, 0.7000) [1 per cell]
Y (0.5997, 0.7964, 0.2022) [1 per cell]
Y (0.6673, 0.9979, 0.5013) [1 per cell]
Ho (0.0653, 0.1995, 0.3016) [1 per cell]
Ho (0.4016, 0.1976, 0.8001) [1 per cell]
Ho (0.4693, 0.3963, 0.1003) [1 per cell]
Ho (0.8045, 0.3967, 0.6017) [1 per cell]
Ho (0.8713, 0.5980, 0.9010) [1 per cell]

Output
- DFT formation energy (meV/atom) = 6
- energy (eV per atom) = -5.346
- crystal system = triclinic



Crystalline Cr3NiCl at its relaxed geometry. Source: Alexandria, functional PBE.

Cell: 4.0809 4.0809 4.0809 Å, 90.00 90.00 90.00°
Space group Pm-3m (No. 221)
Inequivalent atoms, fractional coordinates:
Cr (0.0000, 0.0000, 0.5000) [3 per cell]
Ni (0.5000, 0.5000, 0.5000) [1 per cell]
Cl (0.0000, 0.0000, 0.0000) [1 per cell]

Output
- formation energy from raw total energies (eV/f.u.) = 5.1
- energy (eV per atom) = -6.286
- crystal system = cubic



Crystalline TlSbW3 at its relaxed geometry. Source: Alexandria, functional PBE.

Cell: 4.9322 4.9322 4.9322 Å, 90.00 90.00 90.00°
Space group Pm-3m (No. 221)
Inequivalent atoms, fractional coordinates:
Tl (0.0000, 0.0000, 0.0000) [1 per cell]
Sb (0.5000, 0.5000, 0.5000) [1 per cell]
W (0.0000, 0.5000, 0.5000) [3 per cell]

Output
- formation energy from raw total energies (eV/f.u.) = 12.4
- energy (eV per atom) = -6.583
- crystal system = cubic



Crystalline Y2SbOs at its relaxed geometry. Source: Alexandria, functional PBE.

Cell: 3.6484 4.5682 6.2307 Å, 90.00 90.00 90.00°
Space group Pmm2 (No. 25)
Inequivalent atoms, fractional coordinates:
Y (0.0000, 0.0000, 0.0000) [1 per cell]
Y (0.5000, 0.5000, 0.3499) [1 per cell]
Sb (0.5000, 0.5000, 0.8346) [1 per cell]
Os (0.0000, 0.0000, 0.4267) [1 per cell]

Output
- formation energy from raw total energies (eV/f.u.) = -0.5
- energy (eV per atom) = -7.201
- crystal system = orthorhombic



Crystalline PmSiRhC at its relaxed geometry. Source: Alexandria, functional PBE.

Cell: 3.9530 3.9530 8.5184 Å, 90.00 90.00 90.00°
Space group P4/nmm (No. 129, origin choice 2)
Inequivalent atoms, fractional coordinates:
Pm (0.2500, 0.2500, 0.1508) [2 per cell]
Si (0.2500, 0.2500, 0.6532) [2 per cell]
Rh (0.2500, 0.7500, 0.5000) [2 per cell]
C (0.2500, 0.2500, 0.8655) [2 per cell]

Output
- formation energy from raw total energies (eV/f.u.) = -2.6
- energy (eV per atom) = -7.342
- crystal system = tetragonal



Crystalline MnZnSb2 at its relaxed geometry. Source: Alexandria, functional PBE.

Cell: 3.3261 3.3261 27.8306 Å, 90.00 90.00 120.00°
Space group R3m (No. 160, hexagonal axes)
Inequivalent atoms, fractional coordinates:
Mn (0.0000, 0.0000, 0.0000) [3 per cell]
Zn (0.0000, 0.0000, 0.7333) [3 per cell]
Sb (0.0000, 0.0000, 0.2617) [3 per cell]
Sb (0.0000, 0.0000, 0.4765) [3 per cell]

Output
- formation energy from raw total energies (eV/f.u.) = 1.2
- energy (eV per atom) = -4.381
- crystal system = trigonal



Crystalline NbSeF2 at its relaxed geometry. Source: Alexandria, functional PBE.

Cell: 5.9841 5.9841 5.9841 Å, 90.00 90.00 90.00°
Space group Fm-3m (No. 225)
Inequivalent atoms, fractional coordinates:
Nb (0.0000, 0.0000, 0.0000) [4 per cell]
Se (0.0000, 0.0000, 0.5000) [4 per cell]
F (0.2500, 0.2500, 0.2500) [8 per cell]

Output
- formation energy from raw total energies (eV/f.u.) = -3.4
- energy (eV per atom) = -5.175
- crystal system = cubic



Crystalline TeCI2F at its relaxed geometry. Source: Alexandria, functional PBE.

Cell: 5.8844 5.8844 4.1993 Å, 90.00 90.00 90.00°
Space group P4/mmm (No. 123)
Inequivalent atoms, fractional coordinates:
Te (0.0000, 0.0000, 0.0000) [1 per cell]
C (0.5000, 0.5000, 0.0000) [1 per cell]
I (0.0000, 0.5000, 0.5000) [2 per cell]
F (0.0000, 0.0000, 0.5000) [1 per cell]

Output
- formation energy from raw total energies (eV/f.u.) = 6.7
- energy (eV per atom) = -2.119
- crystal system = tetragonal



Crystalline Tb5Mg4Zr at its relaxed geometry. Source: Alexandria, functional PBE.

Cell: 3.5851 3.5851 21.4594 Å, 90.00 90.00 90.00°
Space group P4/mmm (No. 123)
Inequivalent atoms, fractional coordinates:
Tb (0.0000, 0.0000, 0.0000) [1 per cell]
Tb (0.0000, 0.0000, 0.1921) [2 per cell]
Tb (0.0000, 0.0000, 0.3980) [2 per cell]
Mg (0.5000, 0.5000, 0.0961) [2 per cell]
Mg (0.5000, 0.5000, 0.2926) [2 per cell]
Zr (0.5000, 0.5000, 0.5000) [1 per cell]

Output
- DFT formation energy (meV/atom) = -31
- energy (eV per atom) = -3.839
- crystal system = tetragonal



Crystalline DyPu2As3 at its relaxed geometry. Source: Alexandria, functional PBE.

Cell: 4.1317 5.8345 12.3699 Å, 90.00 90.00 90.00°
Space group Immm (No. 71)
Inequivalent atoms, fractional coordinates:
Dy (0.0000, 0.0000, 0.0000) [2 per cell]
Pu (0.0000, 0.0000, 0.3341) [4 per cell]
As (0.0000, 0.5000, 0.0000) [2 per cell]
As (0.0000, 0.5000, 0.3316) [4 per cell]

Output
- DFT formation energy (meV/atom) = -1192
- energy (eV per atom) = -9.061
- crystal system = orthorhombic



Crystalline YAlCu3 at its relaxed geometry. Source: Alexandria, functional PBE.

Cell: 5.1020 7.0335 9.2472 Å, 90.00 90.00 90.00°
Space group Imma (No. 74)
Inequivalent atoms, fractional coordinates:
Y (0.0000, 0.2500, 0.0077) [4 per cell]
Al (0.0000, 0.0000, 0.5000) [4 per cell]
Cu (0.0000, 0.2500, 0.3156) [4 per cell]
Cu (0.2500, 0.0565, 0.7500) [8 per cell]

Output
- DFT formation energy (meV/atom) = -204
- energy (eV per atom) = -4.703
- crystal system = orthorhombic



Crystalline La2PbN2 at its relaxed geometry. Source: Alexandria, functional PBE.

Cell: 4.3922 4.3922 12.4366 Å, 90.00 90.00 90.00°
Space group I4/mmm (No. 139)
Inequivalent atoms, fractional coordinates:
La (0.0000, 0.0000, 0.1708) [4 per cell]
Pb (0.0000, 0.0000, 0.5000) [2 per cell]
N (0.0000, 0.5000, 0.2500) [4 per cell]

Output
- formation energy from raw total energies (eV/f.u.) = -3.9
- energy (eV per atom) = -6.825
- crystal system = tetragonal



Crystalline K3Rb2O3 at its relaxed geometry. Source: Alexandria, functional PBE.

Cell: 13.6021 5.2489 13.4702 Å, 90.00 90.57 90.00°
Space group Cm (No. 8)
Inequivalent atoms, fractional coordinates:
K (0.0000, 0.0000, 0.0000) [2 per cell]
K (0.0014, 0.0000, 0.7271) [2 per cell]
K (0.1559, 0.5000, 0.1867) [2 per cell]
K (0.1845, 0.0000, 0.3618) [2 per cell]
K (0.2139, 0.5000, 0.8641) [2 per cell]
K (0.3964, 0.5000, 0.5053) [2 per cell]
Rb (0.1433, 0.5000, 0.5350) [2 per cell]
Rb (0.2543, 0.0000, 0.0363) [2 per cell]
Rb (0.2549, 0.0000, 0.6915) [2 per cell]
Rb (0.4090, 0.5000, 0.2358) [2 per cell]
O (0.0863, 0.0000, 0.5445) [2 per cell]
O (0.0927, 0.0000, 0.1762) [2 per cell]
O (0.1355, 0.0000, 0.8635) [2 per cell]
O (0.2611, 0.5000, 0.3624) [2 per cell]
O (0.3115, 0.5000, 0.0490) [2 per cell]
O (0.3136, 0.5000, 0.6821) [2 per cell]

Output
- formation energy from raw total energies (eV/f.u.) = -7.5
- energy (eV per atom) = -3.456
- crystal system = monoclinic



Crystalline Cs2MgP at its relaxed geometry. Source: Alexandria, functional PBE.

Cell: 14.2132 14.2132 4.8653 Å, 90.00 90.00 90.00°
Space group I-42d (No. 122)
Inequivalent atoms, fractional coordinates:
Cs (0.0528, 0.7500, 0.1250) [8 per cell]
Mg (0.0000, 0.0000, 0.5000) [4 per cell]
P (0.0000, 0.0000, 0.0000) [4 per cell]

Output
- DFT formation energy (meV/atom) = -152
- energy (eV per atom) = -2.330
- crystal system = tetragonal



Crystalline Rb6TlHg2 at its relaxed geometry. Source: Alexandria, functional PBE.

Cell: 12.1656 12.2274 13.5043 Å, 90.00 90.00 90.00°
Space group Immm (No. 71)
Inequivalent atoms, fractional coordinates:
Rb (0.0000, 0.1924, 0.2406) [8 per cell]
Rb (0.2029, 0.5000, 0.1702) [8 per cell]
Rb (0.2204, 0.3157, 0.5000) [8 per cell]
Tl (0.0000, 0.0000, 0.0000) [2 per cell]
Tl (0.0000, 0.0000, 0.5000) [2 per cell]
Hg (0.0000, 0.3638, 0.0000) [4 per cell]
Hg (0.0000, 0.5000, 0.3839) [4 per cell]

Output
- DFT formation energy (meV/atom) = -99
- energy (eV per atom) = -1.074
- crystal system = orthorhombic



Crystalline PmZn2SiAu4 at its relaxed geometry. Source: Alexandria, functional PBE.

Cell: 4.4392 4.4392 26.9430 Å, 90.00 90.00 120.00°
Space group R-3m (No. 166, hexagonal axes)
Inequivalent atoms, fractional coordinates:
Pm (0.0000, 0.0000, 0.0000) [3 per cell]
Zn (0.0000, 0.0000, 0.2515) [6 per cell]
Si (0.0000, 0.0000, 0.5000) [3 per cell]
Au (0.0000, 0.0000, 0.1330) [6 per cell]
Au (0.0000, 0.0000, 0.3996) [6 per cell]

Output
- formation energy from raw total energies (eV/f.u.) = -2.6
- energy (eV per atom) = -3.552
- crystal system = trigonal



Crystalline Li4In4Pb at its relaxed geometry. Source: Alexandria, functional PBE.

Cell: 9.4010 9.4010 4.6508 Å, 90.00 90.00 90.00°
Space group I4/mmm (No. 139)
Inequivalent atoms, fractional coordinates:
Li (0.0000, 0.3203, 0.0000) [8 per cell]
In (0.1744, 0.1744, 0.5000) [8 per cell]
Pb (0.0000, 0.0000, 0.0000) [2 per cell]

Output
- DFT formation energy (meV/atom) = -166
- energy (eV per atom) = -2.646
- crystal system = tetragonal